Entry 1:
# Pr2AgO

Pr2AgO after structural relaxation (GGA-PBE, Alexandria via LeMat-Bulk).

Summary:
Energy (eV/atom): -5.64
Space-group type: R-3m, No. 166

Cell: 7.478 7.478 7.478 Å, 29.83 29.83 29.83°
Fractional coordinates of all 4 atoms:
Pr: 0.230 0.230 0.230
Pr: 0.770 0.770 0.770
Ag: 0.000 0.000 0.000
O: 0.500 0.500 0.500



Entry 2:
# Na2ReHgSe

Na2ReHgSe after structural relaxation (GGA-PBE, Alexandria via LeMat-Bulk).

Summary:
Energy (eV/atom): -2.55
Space-group type: P4/mmm, No. 123

Cell: 5.652 5.652 5.298 Å, 90.00 90.00 90.00°
Fractional coordinates of all 5 atoms:
Na: 0.000 0.500 0.000
Na: 0.500 0.000 0.000
Re: 0.000 0.000 0.500
Hg: 0.500 0.500 0.000
Se: 0.500 0.500 0.500